[1]
This record from the Alexandria database describes crystalline PmEu2In at its relaxed geometry. The functional is PBE-GGA.

Summary:
- theoretical density (kg/m³) = 7235
- distance to the lowest polymorph of the same formula (meV per atom) = 0
- space-group type = P4/mmm (123)
- DFT total energy (eV/atom) = -7.22
- formation enthalpy at 0 K (eV per atom) = -0.215

Unit cell a=5.260 b=4.960 c=4.960 alpha=90.00 beta=90.00 gamma=90.00
Sites, in units of the cell vectors:
Eu (0.000, 0.000, 0.500)
Eu (0.000, 0.500, 0.000)
In (0.500, 0.000, 0.000)
Pm (0.500, 0.500, 0.500)

***

[2]
This record from the Alexandria database describes crystalline ScTlAgAu at its relaxed geometry. The functional is PBE-GGA.

Summary:
- theoretical density (kg/m³) = 11391
- space-group type = F-43m (216)
- DFT total energy (eV/atom) = -4.00
- formation enthalpy at 0 K (eV per atom) = -0.297

Unit cell a=4.852 b=4.852 c=4.852 alpha=60.00 beta=60.00 gamma=60.00
Sites, in units of the cell vectors:
Sc (0.750, 0.750, 0.750)
Tl (0.250, 0.250, 0.250)
Au (0.000, 0.000, 0.000)
Ag (0.500, 0.500, 0.500)

***

[3]
This record from the Alexandria database describes crystalline CoSbIr4 at its relaxed geometry. The functional is PBE-GGA.

Summary:
- theoretical density (kg/m³) = 15526
- space-group type = F-43m (216)
- DFT total energy (eV/atom) = -7.20
- raw formation energy (meV/atom) = 582

Unit cell a=5.237 b=5.237 c=5.237 alpha=60.00 beta=60.00 gamma=60.00
Sites, in units of the cell vectors:
Ir (0.375, 0.375, 0.876)
Ir (0.375, 0.876, 0.375)
Co (0.000, 0.000, 0.000)
Ir (0.876, 0.375, 0.375)
Sb (0.750, 0.750, 0.750)
Ir (0.375, 0.375, 0.375)